No. 1
Entry from Alexandria via LeMat-Bulk: a geometry-optimized Sr2CaIr structure (PBE).

Output
* formation energy: 0.1731 eV per atom
* density of states at the Fermi level: 3.7 states/eV/cell
* energy relative to the lowest polymorph listed for this composition: 1.60 eV/f.u.
* total magnetization: 0.00 Bohr magnetons per cell

Cell: 5.444 5.444 5.444 Å, 60.00 60.00 60.00°
Fractional positions:
Sr 0.000 0.000 0.000
Sr 0.250 0.250 0.250
Ca 0.750 0.750 0.750
Ir 0.500 0.500 0.500

---

No. 2
Entry from Alexandria via LeMat-Bulk: a geometry-optimized Li2MnPd3 structure (PBE).

Output
* formation energy: -0.3859 eV per atom
* density of states at the Fermi level: 3.3 states/eV/cell
* total magnetization: 9.01 Bohr magnetons per cell

Cell: 6.814 6.814 6.016 Å, 90.00 90.00 143.05°
Fractional positions:
Li 0.000 0.000 0.000
Li 0.000 0.000 0.500
Li 0.332 0.668 0.000
Li 0.668 0.332 0.000
Mn 0.334 0.666 0.500
Mn 0.666 0.334 0.500
Pd 0.166 0.834 0.245
Pd 0.166 0.834 0.755
Pd 0.500 0.500 0.245
Pd 0.500 0.500 0.755
Pd 0.834 0.166 0.245
Pd 0.834 0.166 0.755

---

No. 3
Entry from Alexandria via LeMat-Bulk: a geometry-optimized Sm2GaC structure (PBE).

Output
* formation energy: -0.2394 eV per atom
* density of states at the Fermi level: 4.8 states/eV/cell
* total magnetization: 0.22 Bohr magnetons per cell

Cell: 7.900 7.900 7.900 Å, 27.18 27.18 27.18°
Fractional positions:
Sm 0.229 0.229 0.229
Sm 0.771 0.771 0.771
Ga 0.000 0.000 0.000
C 0.500 0.500 0.500

---

No. 4
Entry from Alexandria via LeMat-Bulk: a geometry-optimized LiSm8Tl6 structure (PBE).

Output
* formation energy: -0.1430 eV per atom
* density of states at the Fermi level: 18.8 states/eV/cell
* total magnetization: 0.00 Bohr magnetons per cell

Cell: 8.420 8.420 8.420 Å, 66.25 66.25 66.25°
Fractional positions:
Li 0.000 0.000 0.000
Sm 0.112 0.433 0.786
Sm 0.214 0.888 0.567
Sm 0.336 0.336 0.336
Sm 0.433 0.786 0.112
Sm 0.567 0.214 0.888
Sm 0.664 0.664 0.664
Sm 0.786 0.112 0.433
Sm 0.888 0.567 0.214
Tl 0.055 0.733 0.384
Tl 0.267 0.616 0.945
Tl 0.384 0.055 0.733
Tl 0.616 0.945 0.267
Tl 0.733 0.384 0.055
Tl 0.945 0.267 0.616

---

No. 5
Entry from Alexandria via LeMat-Bulk: a geometry-optimized Zn2PIr structure (PBE).

Output
* formation energy: 0.0540 eV per atom
* density of states at the Fermi level: 2.0 states/eV/cell
* total magnetization: 0.00 Bohr magnetons per cell

Cell: 4.928 4.928 4.227 Å, 92.67 92.67 33.92°
Fractional positions:
Zn 0.236 0.236 0.243
Zn 0.764 0.764 0.757
P 0.000 0.000 0.500
Ir 0.500 0.500 0.000

---

No. 6
Entry from Alexandria via LeMat-Bulk: a geometry-optimized Ba4Nb3TlO12 structure (PBE).

Output
* density of states at the Fermi level: 6.2 states/eV/cell
* formation energy without anion corrections: -49.79 eV per formula unit
* total magnetization: 1.91 Bohr magnetons per cell

Cell: 7.314 7.314 7.314 Å, 109.47 109.47 109.47°
Fractional positions:
Ba 0.000 0.000 0.500
Ba 0.000 0.500 0.000
Ba 0.500 0.000 0.000
Ba 0.500 0.500 0.500
Nb 0.000 0.500 0.500
Nb 0.500 0.000 0.500
Nb 0.500 0.500 0.000
Tl 0.000 0.000 0.000
O 0.000 0.265 0.265
O 0.000 0.735 0.735
O 0.250 0.500 0.750
O 0.250 0.750 0.500
O 0.265 0.000 0.265
O 0.265 0.265 0.000
O 0.500 0.250 0.750
O 0.500 0.750 0.250
O 0.735 0.000 0.735
O 0.735 0.735 0.000
O 0.750 0.250 0.500
O 0.750 0.500 0.250

---

No. 7
Entry from Alexandria via LeMat-Bulk: a geometry-optimized ZrRe2Cl structure (PBE).

Output
* density of states at the Fermi level: 5.2 states/eV/cell
* energy relative to the lowest polymorph listed for this composition: 3.65 eV/f.u.
* formation energy without anion corrections: 3.15 eV per formula unit
* total magnetization: 0.00 Bohr magnetons per cell

Cell: 2.868 2.868 8.328 Å, 90.00 90.00 90.00°
Fractional positions:
Zr 0.000 0.000 0.000
Re 0.500 0.500 0.260
Re 0.500 0.500 0.740
Cl 0.000 0.000 0.500

---

No. 8
Entry from Alexandria via LeMat-Bulk: a geometry-optimized BaCaCo2N structure (PBE).

Output
* density of states at the Fermi level: 8.4 states/eV/cell
* formation energy without anion corrections: 9.94 eV per formula unit
* total magnetization: 2.24 Bohr magnetons per cell

Cell: 4.448 4.448 7.366 Å, 90.00 90.00 90.00°
Fractional positions:
Ba 0.000 0.000 0.000
Ca 0.000 0.000 0.500
Co 0.000 0.500 0.500
Co 0.500 0.000 0.500
N 0.500 0.500 0.000